(1)
# Ce3SeS3 (PBE, optimized geometry)
data_Ce3SeS3
_chemical_formula_sum 'Ce6 Se2 S6'
_space_group_name_H-M_alt 'P 1'
_space_group_IT_number 1
_space_group_name_Hall 'P 1'
_cell_length_a 7.563
_cell_length_b 7.563
_cell_length_c 7.680
_cell_angle_alpha 104.70
_cell_angle_beta 104.70
_cell_angle_gamma 99.22
loop_
_atom_site_label
_atom_site_fract_x
_atom_site_fract_y
_atom_site_fract_z
Ce1 0.144 0.853 0.753
Ce2 0.147 0.856 0.247
Ce3 0.484 0.484 0.243
Ce4 0.516 0.516 0.757
Ce5 0.853 0.144 0.753
Ce6 0.856 0.147 0.247
Se1 0.184 0.184 0.593
Se2 0.816 0.816 0.407
S1 0.172 0.172 0.085
S2 0.320 0.680 0.500
S3 0.322 0.678 0.000
S4 0.678 0.322 0.000
S5 0.680 0.320 0.500
S6 0.828 0.828 0.915
# - M_tot (μB per atom) = 0.455
# - total energy (eV/atom) = -6.595
# - formation energy from raw total energies (eV per atom) = -1.78
# - offset from the most stable computed form (meV/atom) = 184


(2)
# Li3ZnIr (PBE, optimized geometry)
data_Li3ZnIr
_chemical_formula_sum 'Li6 Zn2 Ir2'
_space_group_name_H-M_alt 'P 1'
_space_group_IT_number 1
_space_group_name_Hall 'P 1'
_cell_length_a 2.614
_cell_length_b 4.670
_cell_length_c 12.705
_cell_angle_alpha 83.21
_cell_angle_beta 84.60
_cell_angle_gamma 74.44
loop_
_atom_site_label
_atom_site_fract_x
_atom_site_fract_y
_atom_site_fract_z
Li1 0.056 0.224 0.167
Li2 0.144 0.767 0.444
Li3 0.338 0.740 0.074
Li4 0.662 0.260 0.926
Li5 0.856 0.233 0.556
Li6 0.944 0.776 0.833
Zn1 0.447 0.257 0.351
Zn2 0.553 0.743 0.649
Ir1 0.248 0.264 0.742
Ir2 0.752 0.736 0.258
# - M_tot (μB per atom) = 0.000
# - total energy (eV/atom) = -3.314
# - energy relative to the elements (eV per atom) = -0.1390
# - offset from the most stable computed form (meV/atom) = 0


(3)
# Zr3Te (PBE, optimized geometry)
data_Zr3Te
_chemical_formula_sum 'Zr3 Te1'
_space_group_name_H-M_alt 'P 1'
_space_group_IT_number 1
_space_group_name_Hall 'P 1'
_cell_length_a 9.391
_cell_length_b 9.391
_cell_length_c 9.391
_cell_angle_alpha 21.44
_cell_angle_beta 21.44
_cell_angle_gamma 21.44
loop_
_atom_site_label
_atom_site_fract_x
_atom_site_fract_y
_atom_site_fract_z
Zr1 0.000 0.000 0.000
Zr2 0.245 0.245 0.245
Zr3 0.755 0.755 0.755
Te1 0.500 0.500 0.500
# - M_tot (μB per atom) = 0.000
# - total energy (eV/atom) = -7.440
# - formation energy from raw total energies (eV per atom) = -0.24


(4)
# Li2PdAu (PBE, optimized geometry)
data_Li2PdAu
_chemical_formula_sum 'Li2 Pd1 Au1'
_space_group_name_H-M_alt 'P 1'
_space_group_IT_number 1
_space_group_name_Hall 'P 1'
_cell_length_a 4.036
_cell_length_b 4.036
_cell_length_c 3.571
_cell_angle_alpha 90.00
_cell_angle_beta 90.00
_cell_angle_gamma 90.00
loop_
_atom_site_label
_atom_site_fract_x
_atom_site_fract_y
_atom_site_fract_z
Li1 0.000 0.500 0.000
Li2 0.500 0.000 0.000
Pd1 0.000 0.000 0.500
Au1 0.500 0.500 0.500
# - M_tot (μB per atom) = 0.000
# - total energy (eV/atom) = -3.587
# - energy relative to the elements (eV per atom) = -0.5129
# - offset from the most stable computed form (meV/atom) = 0